1.
LaMnPt2 | the Alexandria database | meta-GGA SCAN | single point on PBEsol structure; final energy = -51.491 eV/atom; V = 81 Å³ per cell; DOS at the Fermi energy = 0.58 states/eV per atom; crystal system = trigonal; space group = No. 166
1.0
2.182 1.260 4.901
-2.182 1.260 4.901
0.000 -2.520 4.901
La Mn Pt
1 1 2
direct
0.000 0.000 0.000 La
0.500 0.500 0.500 Mn
0.209 0.209 0.209 Pt
0.791 0.791 0.791 Pt

***

2.
La2MnRe | the Alexandria database | meta-GGA SCAN | single point on PBEsol structure; final energy = -43.565 eV/atom; V = 93 Å³ per cell; DOS at the Fermi energy = 0.98 states/eV per atom; crystal system = monoclinic; space group = No. 6
1.0
3.063 0.000 0.000
0.000 3.778 0.000
-0.714 0.000 8.015
La Mn Re
2 1 1
direct
0.000 0.000 0.000 La
0.234 0.500 0.588 La
0.420 0.500 0.242 Mn
0.779 0.000 0.338 Re

***

3.
La2MnRe | the Alexandria database | meta-GGA SCAN | single point on PBEsol structure; final energy = -43.586 eV/atom; V = 91 Å³ per cell; DOS at the Fermi energy = 0.85 states/eV per atom; crystal system = cubic; space group = No. 225
1.0
0.000 3.571 3.571
3.571 0.000 3.571
3.571 3.571 0.000
La Mn Re
2 1 1
direct
0.250 0.250 0.250 La
0.750 0.750 0.750 La
0.000 0.000 0.000 Mn
0.500 0.500 0.500 Re

***

4.
LaMn2Re | the Alexandria database | meta-GGA SCAN | single point on PBEsol structure; final energy = -37.051 eV/atom; V = 62 Å³ per cell; DOS at the Fermi energy = 1.35 states/eV per atom; crystal system = cubic; space group = No. 225
1.0
0.000 3.138 3.138
3.138 0.000 3.138
3.138 3.138 0.000
La Mn Re
1 2 1
direct
0.000 0.000 0.000 La
0.250 0.250 0.250 Mn
0.750 0.750 0.750 Mn
0.500 0.500 0.500 Re

***

5.
LaMn2Rh | the Alexandria database | meta-GGA SCAN | single point on PBEsol structure; final energy = -28.696 eV/atom; V = 75 Å³ per cell; DOS at the Fermi energy = 0.71 states/eV per atom; crystal system = trigonal; space group = No. 160
1.0
2.024 1.169 5.273
-2.024 1.169 5.273
0.000 -2.338 5.273
La Mn Rh
1 2 1
direct
0.000 0.000 0.000 La
0.485 0.485 0.485 Mn
0.809 0.809 0.809 Mn
0.218 0.218 0.218 Rh

***

6.
LaMn2Rh | the Alexandria database | meta-GGA SCAN | single point on PBEsol structure; final energy = -28.545 eV/atom; V = 73 Å³ per cell; DOS at the Fermi energy = 0.59 states/eV per atom; crystal system = orthorhombic; space group = No. 71
1.0
-1.733 2.221 4.737
1.733 -2.221 4.737
1.733 2.221 -4.737
La Mn Rh
1 2 1
direct
0.000 0.000 0.000 La
0.272 0.772 0.500 Mn
0.728 0.228 0.500 Mn
0.500 0.500 0.000 Rh

***

| no. | ΔE_f (eV per atom) |
| --- | --- |
| 1 | -1.054 |
| 2 | 0.325 |
| 3 | 0.305 |
| 4 | 0.627 |
| 5 | -0.349 |
| 6 | -0.199 |